1.
Compound: ScInP2O
Source: Alexandria via LeMat-Bulk
Functional: PBE
Structure: optimized geometry

Unit cell a=9.169 b=9.169 c=3.775 alpha=90.00 beta=90.00 gamma=90.00
Each line ends with the local moment (μB).
Atoms (fractional coordinates):
Sc 0.000 0.000 0.000  -0.17
P 0.000 0.500 0.000  0.69
P 0.500 0.000 0.000  0.69
O 0.000 0.000 0.500  0.01
In 0.500 0.500 0.500  -0.01

- ρ (kg/m³) = 1244
- raw formation energy (eV/atom) = 0.85
- uncorrected energy (eV per cell) = -20.6
- E above lowest polymorph (meV/atom) = 755.6
- spin magnetization (μB per formula unit) = 3.1

2.
Compound: ScInPO2
Source: Alexandria via LeMat-Bulk
Functional: PBE
Structure: optimized geometry

Unit cell a=4.063 b=4.063 c=5.240 alpha=90.00 beta=90.00 gamma=90.00
Each line ends with the local moment (μB).
Atoms (fractional coordinates):
Sc 0.500 0.500 0.500  -0.02
P 0.000 0.000 0.500  0.13
O 0.000 0.500 0.000  0.23
O 0.500 0.000 0.000  0.23
In 0.000 0.000 0.000  0.02

- ρ (kg/m³) = 4277
- raw formation energy (eV/atom) = -0.64
- uncorrected energy (eV per cell) = -27.6
- E above lowest polymorph (meV/atom) = 525.8
- spin magnetization (μB per formula unit) = 0.8